# 1
# KFe2PbBr8 | the Alexandria database | PBE | relaxed
# ΔE_f (raw) in eV/atom: -0.79
# DOS(E_F) in states/eV/f.u.: 8.3
data_KFe2PbBr8
_cell_length_a 11.515
_cell_length_b 7.962
_cell_length_c 10.021
_cell_angle_alpha 90.00
_cell_angle_beta 94.16
_cell_angle_gamma 90.00
_symmetry_space_group_name_H-M 'C 1 2/m 1'
_symmetry_Int_Tables_number 12
loop_
_symmetry_equiv_pos_as_xyz
'x,y,z'
'-x,-y,-z'
'-x,y,-z'
'x,-y,z'
'x+1/2,y+1/2,z'
'-x+1/2,-y+1/2,-z'
'-x+1/2,y+1/2,-z'
'x+1/2,-y+1/2,z'
loop_
_atom_site_label
_atom_site_type_symbol
_atom_site_fract_x
_atom_site_fract_y
_atom_site_fract_z
K1 K 0.000 0.000 0.000
Fe1 Fe 0.121 0.500 0.271
Pb1 Pb 0.000 0.000 0.500
Br1 Br 0.008 0.257 0.730
Br2 Br 0.214 0.500 0.071
Br3 Br 0.235 0.500 0.480

---

# 2
# KFePbBr5 | the Alexandria database | PBE | relaxed
# ΔE_f (raw) in eV/atom: -0.93
# DOS(E_F) in states/eV/f.u.: 6.5
data_KFePbBr5
_cell_length_a 9.660
_cell_length_b 12.808
_cell_length_c 10.688
_cell_angle_alpha 90.00
_cell_angle_beta 113.89
_cell_angle_gamma 90.00
_symmetry_space_group_name_H-M 'C 1 2/c 1'
_symmetry_Int_Tables_number 15
loop_
_symmetry_equiv_pos_as_xyz
'x,y,z'
'-x,-y,-z'
'-x,y,-z+1/2'
'x,-y,z+1/2'
'x+1/2,y+1/2,z'
'-x+1/2,-y+1/2,-z'
'-x+1/2,y+1/2,-z+1/2'
'x+1/2,-y+1/2,z+1/2'
loop_
_atom_site_label
_atom_site_type_symbol
_atom_site_fract_x
_atom_site_fract_y
_atom_site_fract_z
K1 K 0.000 0.146 0.250
Fe1 Fe 0.000 0.183 0.750
Pb1 Pb 0.000 0.500 0.000
Br1 Br 0.000 0.399 0.250
Br2 Br 0.129 0.290 0.641
Br3 Br 0.168 0.068 0.932

---

# 3
# K2FePbBr6 | the Alexandria database | PBE | relaxed
# ΔE_f (raw) in eV/atom: -1.07
# DOS(E_F) in states/eV/f.u.: 6.5
data_K2FePbBr6
_cell_length_a 7.588
_cell_length_b 7.920
_cell_length_c 13.249
_cell_angle_alpha 90.00
_cell_angle_beta 124.47
_cell_angle_gamma 90.00
_symmetry_space_group_name_H-M 'P 1 21/c 1'
_symmetry_Int_Tables_number 14
loop_
_symmetry_equiv_pos_as_xyz
'x,y,z'
'-x,-y,-z'
'-x,y+1/2,-z+1/2'
'x,-y+1/2,z+1/2'
loop_
_atom_site_label
_atom_site_type_symbol
_atom_site_fract_x
_atom_site_fract_y
_atom_site_fract_z
K1 K 0.221 0.076 0.246
Fe1 Fe 0.000 0.000 0.500
Pb1 Pb 0.500 0.000 0.000
Br1 Br 0.125 0.217 0.949
Br2 Br 0.236 0.681 0.950
Br3 Br 0.330 0.021 0.730

---

# 4
# KFe2PdBr8 | the Alexandria database | PBE | relaxed
# ΔE_f (raw) in eV/atom: -0.63
# DOS(E_F) in states/eV/f.u.: 5.6
data_KFe2PdBr8
_cell_length_a 10.883
_cell_length_b 7.691
_cell_length_c 9.648
_cell_angle_alpha 90.00
_cell_angle_beta 96.44
_cell_angle_gamma 90.00
_symmetry_space_group_name_H-M 'C 1 2/m 1'
_symmetry_Int_Tables_number 12
loop_
_symmetry_equiv_pos_as_xyz
'x,y,z'
'-x,-y,-z'
'-x,y,-z'
'x,-y,z'
'x+1/2,y+1/2,z'
'-x+1/2,-y+1/2,-z'
'-x+1/2,y+1/2,-z'
'x+1/2,-y+1/2,z'
loop_
_atom_site_label
_atom_site_type_symbol
_atom_site_fract_x
_atom_site_fract_y
_atom_site_fract_z
K1 K 0.000 0.000 0.000
Fe1 Fe 0.121 0.500 0.280
Pd1 Pd 0.000 0.000 0.500
Br1 Br 0.008 0.252 0.706
Br2 Br 0.199 0.500 0.063
Br3 Br 0.236 0.000 0.514

---

# 5
# KRb2FeBr6 | the Alexandria database | PBE | relaxed
# ΔE_f (raw) in eV/atom: -1.11
# DOS(E_F) in states/eV/f.u.: 10.9
data_KRb2FeBr6
_cell_length_a 11.148
_cell_length_b 11.148
_cell_length_c 11.148
_cell_angle_alpha 90.00
_cell_angle_beta 90.00
_cell_angle_gamma 90.00
_symmetry_space_group_name_H-M 'F m -3 m'
_symmetry_Int_Tables_number 225
_symmetry_space_group_name_Hall '-F 4 2 3'
loop_
_atom_site_label
_atom_site_type_symbol
_atom_site_fract_x
_atom_site_fract_y
_atom_site_fract_z
K1 K 0.000 0.000 0.000
Rb1 Rb 0.250 0.250 0.250
Fe1 Fe 0.000 0.000 0.500
Br1 Br 0.000 0.000 0.280

---

# 6
# K3Rb3FeBr8 | the Alexandria database | PBE | relaxed
# ΔE_f (raw) in eV/atom: -1.45
# DOS(E_F) in states/eV/f.u.: 6.8
data_K3Rb3FeBr8
_cell_length_a 16.285
_cell_length_b 9.419
_cell_length_c 9.581
_cell_angle_alpha 90.00
_cell_angle_beta 124.45
_cell_angle_gamma 90.00
_symmetry_space_group_name_H-M 'C 1 2/m 1'
_symmetry_Int_Tables_number 12
loop_
_symmetry_equiv_pos_as_xyz
'x,y,z'
'-x,-y,-z'
'-x,y,-z'
'x,-y,z'
'x+1/2,y+1/2,z'
'-x+1/2,-y+1/2,-z'
'-x+1/2,y+1/2,-z'
'x+1/2,-y+1/2,z'
loop_
_atom_site_label
_atom_site_type_symbol
_atom_site_fract_x
_atom_site_fract_y
_atom_site_fract_z
K1 K 0.000 0.000 0.000
K2 K 0.250 0.250 0.000
Rb1 Rb 0.000 0.500 0.500
Rb2 Rb 0.250 0.250 0.500
Fe1 Fe 0.000 0.500 0.000
Br1 Br 0.003 0.295 0.804
Br2 Br 0.202 0.500 0.196
Br3 Br 0.246 0.000 0.237